Entry 1:
Material: Tl2InAg
Method: DFT, PBEsol
State: relaxed

Its formation energy is 0.03 eV per atom. The volume comes out at 96 Å³/cell. As for the polymorph energy (0 for the lowest one): 0 meV/atom.

a b c (Å): 3.2683 3.2683 9.0212
angles (deg): 90.00 90.00 90.00
Last column: nearest neighbours and their distance in Å.
Space group P4mm (No. 99)
Symmetry-distinct sites (fractional):
1 Tl 0.0000 0.0000 0.0000  8 Tl 3.27-3.56, 4 In 3.38
2 Tl 0.5000 0.5000 0.2997  4 Ag 3.10, 4 Tl 3.27
3 In 0.5000 0.5000 0.7264  4 Ag 2.92, 4 In 3.27
4 Ag 0.0000 0.0000 0.5287  4 In 2.92, 4 Tl 3.10, 4 Ag 3.27

Entry 2:
Material: Si2NiAg
Method: DFT, PBEsol
State: relaxed

As for the formation energy (no corrections): 0.14 eV per atom. The volume comes out at 108 Å³/cell. As for the polymorph energy (0 for the lowest one): 150 meV/atom.

a b c (Å): 3.8062 3.8062 7.4562
angles (deg): 90.00 90.00 90.00
Last column: nearest neighbours and their distance in Å.
Space group I4/mmm (No. 139)
Symmetry-distinct sites (fractional):
1 Si 0.0000 0.5000 0.2500  4 Ni 2.66, 4 Ag 2.66, 4 Si 2.69
2 Ni 0.0000 0.0000 0.0000  8 Si 2.66, 4 Ag 2.69
3 Ag 0.0000 0.0000 0.5000  8 Si 2.66, 4 Ni 2.69

Entry 3:
Material: TiHgIO2
Method: DFT, PBEsol
State: relaxed

As for the formation energy (no corrections): 0.44 eV per atom. The volume comes out at 101 Å³/cell.

a b c (Å): 4.1612 4.1612 5.8542
angles (deg): 90.00 90.00 90.00
Last column: nearest neighbours and their distance in Å.
Space group P4/mmm (No. 123)
Symmetry-distinct sites (fractional):
1 Ti 0.0000 0.0000 0.0000  4 I 2.94
2 Hg 0.5000 0.5000 0.5000  4 O 2.08
3 I 0.5000 0.5000 0.0000  2 Hg 2.93, 4 Ti 2.94
4 O 0.0000 0.5000 0.5000  2 Hg 2.08

Entry 4:
Material: Ca2OsRu
Method: DFT, PBEsol
State: relaxed

Its formation energy is 0.68 eV per atom. The volume comes out at 142 Å³/cell.

a b c (Å): 5.7562 9.2945 2.8572
angles (deg): 90.00 111.96 90.00
Last column: nearest neighbours and their distance in Å.
Space group C2/m (No. 12)
Symmetry-distinct sites (fractional):
1 Ca 0.2500 0.2500 0.0000  2 Ru 2.82, 2 Os 2.82, 4 Ca 2.86-2.88
2 Os 0.0000 0.0000 0.5000  4 Ca 2.82, 2 Os 2.86, 2 Ru 2.88
3 Ru 0.0000 0.5000 0.5000  4 Ca 2.82, 2 Ru 2.86, 2 Os 2.88